H8PdPt2Pb: optimized geometry, GGA-PBE.

Properties
As for the space group: R-3. The total DFT energy (no corrections) comes out at -0.28582 Ry per atom.

Cell: 4.9002 4.9002 6.5803 Å, 68.14 68.14 60.00°
Fractional positions:
H 0.1892 0.1892 0.4324
H 0.6381 0.2534 0.1679
H 0.8108 0.8108 0.5676
H 0.9407 0.6381 0.1679
H 0.0593 0.3619 0.8321
H 0.2534 0.9407 0.1679
H 0.7466 0.0593 0.8321
H 0.3619 0.7466 0.8321
Pd 0.0000 0.0000 0.0000
Pt 0.2788 0.2788 0.1637
Pt 0.7212 0.7212 0.8363
Pb 0.5000 0.5000 0.5000


HPd2PtPb: optimized geometry, GGA-PBE.

Properties
As for the space group: P4/mmm. For the polymorph energy (0 for the lowest one), the calculation gives 168 meV per atom.

Cell: 3.9885 3.9885 4.7137 Å, 90.00 90.00 90.00°
Fractional positions:
Pb 0.0000 0.0000 0.5000
H 0.0000 0.0000 0.0000
Pd 0.0000 0.5000 0.0000
Pd 0.5000 0.0000 0.0000
Pt 0.5000 0.5000 0.5000


HPd2PtPb: optimized geometry, GGA-PBE.

Properties
As for the space group: P4/mmm. For the polymorph energy (0 for the lowest one), the calculation gives 0 meV per atom.

Cell: 4.3735 4.3735 3.8101 Å, 90.00 90.00 90.00°
Fractional positions:
Pb 0.5000 0.5000 0.5000
H 0.0000 0.0000 0.0000
Pd 0.0000 0.5000 0.0000
Pd 0.5000 0.0000 0.0000
Pt 0.0000 0.0000 0.5000


ReH2PdPb: optimized geometry, GGA-PBE.

Properties
As for the space group: P4/mmm. The total DFT energy (no corrections) comes out at -0.34646 Ry per atom.

Cell: 3.7779 5.3849 3.7779 Å, 90.00 90.00 90.00°
Each line ends with the local moment (μB).
Fractional positions:
Pb 0.5000 0.5000 0.5000  -0.06
Re 0.0000 0.5000 0.0000  1.47
Pd 0.0000 0.0000 0.0000  0.10
H 0.0000 0.0000 0.5000  0.00
H 0.5000 0.0000 0.0000  0.01


H6PdRhPb: optimized geometry, GGA-PBE.

Properties
As for the space group: P1. The total DFT energy (no corrections) comes out at -0.29401 Ry per atom.

Cell: 4.8196 5.4862 4.3435 Å, 100.99 95.60 53.53°
Fractional positions:
H 0.0372 0.4036 0.2679
H 0.3218 0.0860 0.6693
H 0.7132 0.3464 0.6063
H 0.0131 0.5629 0.7433
H 0.2871 0.6401 0.3849
H 0.6566 0.9442 0.3303
Pd 0.6303 0.6844 0.4992
Rh 0.3768 0.3198 0.5099
Pb 0.9636 0.0126 0.9890


HPdRh2Pb: optimized geometry, GGA-PBE.

Properties
As for the space group: P4/mmm. The total DFT energy (no corrections) comes out at -0.40435 Ry per atom.

Cell: 4.1142 4.1142 4.0437 Å, 90.00 90.00 90.00°
Fractional positions:
Pb 0.5000 0.5000 0.5000
H 0.0000 0.0000 0.0000
Rh 0.0000 0.5000 0.0000
Rh 0.5000 0.0000 0.0000
Pd 0.0000 0.0000 0.5000